No. 1
Here is a relaxed Ni2IrW crystal from the Alexandria database. Energies are from GGA-PBE.

a b c (Å): 6.6902 6.6902 5.3719
angles (deg): 51.49 51.49 90.00
Positions (direct):
Ni  0.6185  0.1250  0.2500
Ni  0.1315  0.6250  0.2500
Ni  0.3750  0.3815  0.7500
Ni  0.8750  0.8685  0.7500
Ir  0.0000  0.0000  0.0000
Ir  0.7500  0.2500  0.5000
W  0.5000  0.5000  0.0000
W  0.2500  0.7500  0.5000

Computed properties:
Uncorrected energy ... -7.807 eV/atom
Space group ... No. 122



No. 2
Here is a relaxed Ni2IrW crystal from the Alexandria database. Energies are from GGA-PBE.

a b c (Å): 4.5980 4.5980 4.5980
angles (deg): 132.26 132.26 69.82
Positions (direct):
Ni  0.0000  0.0000  0.0000
Ni  0.2500  0.7500  0.5000
Ir  0.7500  0.2500  0.5000
W  0.5000  0.5000  0.0000

Computed properties:
Uncorrected energy ... -8.542 eV/atom
Space group ... No. 119



No. 3
Here is a relaxed Ni2IrW crystal from the Alexandria database. Energies are from GGA-PBE.

a b c (Å): 2.7357 2.7357 7.0593
angles (deg): 90.00 90.00 90.00
Positions (direct):
Ir  0.5000  0.5000  0.7607
Ni  0.0000  0.0000  0.0135
Ni  0.5000  0.5000  0.2398
W  0.0000  0.0000  0.4859

Computed properties:
Uncorrected energy ... -8.362 eV/atom
Space group ... No. 99



No. 4
Here is a relaxed NiIrW crystal from the Alexandria database. Energies are from GGA-PBE.

a b c (Å): 4.6547 4.6547 4.6547
angles (deg): 145.65 132.42 60.00
Positions (direct):
Ni  0.3329  0.3329  0.0000
Ir  0.9988  0.9988  0.0000
W  0.6683  0.6683  0.0000

Computed properties:
Uncorrected energy ... -9.414 eV/atom
Offset from the most stable computed form ... 0.000 eV/atom
Space group ... No. 44



No. 5
Here is a relaxed Ni2IrW crystal from the Alexandria database. Energies are from GGA-PBE.

a b c (Å): 8.6096 8.6096 8.6096
angles (deg): 18.13 18.13 18.13
Site moments in Bohr magnetons follow the coordinates.
Positions (direct):
Ir  0.7482  0.7482  0.7482  0.01
Ni  0.9970  0.9970  0.9970  0.16
Ni  0.2530  0.2530  0.2530  0.05
W  0.5019  0.5019  0.5019  -0.01

Computed properties:
Uncorrected energy ... -8.263 eV/atom
Space group ... No. 160



No. 6
Here is a relaxed NiIr6W5 crystal from the Alexandria database. Energies are from GGA-PBE.

a b c (Å): 3.9241 7.7535 7.3017
angles (deg): 122.07 105.59 90.00
Positions (direct):
Ni  0.0000  0.0000  0.0000
Ir  0.8331  0.5836  0.6661
Ir  0.8331  0.0825  0.6661
Ir  0.5000  0.7540  0.0000
Ir  0.5000  0.2460  0.0000
Ir  0.1669  0.9175  0.3339
Ir  0.1669  0.4164  0.3339
W  0.6660  0.1660  0.3320
W  0.3336  0.3336  0.6671
W  0.0000  0.5000  0.0000
W  0.6664  0.6664  0.3329
W  0.3340  0.8340  0.6680

Computed properties:
Uncorrected energy ... -10.543 eV/atom
Space group ... No. 71



No. 7
Here is a relaxed NiIrW crystal from the Alexandria database. Energies are from GGA-PBE.

a b c (Å): 2.7800 4.3526 7.0824
angles (deg): 90.00 101.31 90.00
Positions (direct):
Ni  0.7269  0.2500  0.4545
Ni  0.2731  0.7500  0.5455
Ir  0.3860  0.2500  0.7717
Ir  0.6140  0.7500  0.2283
W  0.0606  0.2500  0.1198
W  0.9394  0.7500  0.8802

Computed properties:
Uncorrected energy ... -9.327 eV/atom
Offset from the most stable computed form ... 0.087 eV/atom
Space group ... No. 11



No. 8
Here is a relaxed NiIrW crystal from the Alexandria database. Energies are from GGA-PBE.

a b c (Å): 4.0080 3.9868 7.0463
angles (deg): 106.50 90.00 120.18
Positions (direct):
W  0.0699  0.1397  0.7088
W  0.9301  0.8603  0.2912
Ni  0.3328  0.6655  0.5000
Ni  0.6672  0.3345  0.5000
Ir  0.2050  0.4101  0.1126
Ir  0.7950  0.5899  0.8874

Computed properties:
Uncorrected energy ... -9.070 eV/atom
Offset from the most stable computed form ... 0.345 eV/atom
Space group ... No. 12



Number 1: calculated formation energy 0.537 eV/atom. Number 2: calculated formation energy -0.198 eV/atom. Number 3: calculated formation energy -0.018 eV/atom. Number 4: calculated formation energy -0.216 eV/atom. Number 5: calculated formation energy 0.082 eV/atom. Number 6: calculated formation energy -0.233 eV/atom. Number 7: calculated formation energy -0.129 eV/atom. Number 8: calculated formation energy 0.129 eV/atom.